Entry 1:
## ZnHgTe2 (PBE)

Data for ZnHgTe2 after structural relaxation.

```
ZnHgTe2
1.0
4.505 0.000 0.000
0.000 7.846 0.000
-0.001 0.000 7.446
Zn Hg Te
2 2 4
direct
0.000 0.161 0.000
0.000 0.839 0.500
0.502 0.331 0.494
0.502 0.669 0.994
0.001 0.152 0.639
0.001 0.848 0.139
0.500 0.320 0.109
0.500 0.680 0.609
```

Summary:
Theoretical density ... 6.576 g/cm³
DOS(E_F) ... 0.0023 states/eV/atom
Symmetry ... No. 7
Raw formation energy ... -0.302 eV per atom

Entry 2:
## LaPr6Cd3 (PBE)

Data for LaPr6Cd3 after structural relaxation.

```
LaPr6Cd3
1.0
6.550 -7.166 0.000
6.550 7.166 0.000
0.000 0.000 6.991
La Pr Cd
2 12 6
direct
0.200 0.800 0.500
0.800 0.200 0.000
0.061 0.488 0.846
0.187 0.245 0.513
0.200 0.800 0.022
0.245 0.187 0.013
0.422 0.578 0.716
0.488 0.061 0.346
0.512 0.939 0.846
0.578 0.422 0.216
0.755 0.813 0.513
0.800 0.200 0.522
0.813 0.755 0.013
0.939 0.512 0.346
0.003 0.997 0.763
0.266 0.507 0.231
0.493 0.734 0.231
0.507 0.266 0.731
0.734 0.493 0.731
0.997 0.003 0.263
```

Summary:
Theoretical density ... 6.687 g/cm³
DOS(E_F) ... 1.2606 states/eV/atom
Symmetry ... No. 36

no.,total DFT energy (no corrections) (eV/f.u.)
1,-9.066
2,-37.408